Here is a relaxed structure of RbBaBeO2 from Alexandria. Energies are from PBE-GGA.

Calculated values
magnetic moment = 0.0 Bohr magnetons per cell
density = 2.6 g cm⁻³
volume = 33.1 A^3/atom
N(E_F) = 1.984 states/eV per cell
electronic total energy = -52.0 eV/cell
energy relative to the elements, uncorrected = -43.8 kcal/mol of atoms

Unit cell a=7.9808 b=5.9229 c=8.1209 alpha=90.00 beta=120.44 gamma=90.00
With the nearest neighbours (Å) after each atom.
Positions (direct):
Rb: 0.0000 0.1691 0.2500  2 O 2.91
Rb: 0.0000 0.8309 0.7500  2 O 2.91
Ba: 0.5000 0.5003 0.2500  4 O 2.66
Ba: 0.5000 0.4997 0.7500  4 O 2.66
Be: 0.5000 0.0000 0.0000  2 O 1.44
Be: 0.5000 0.0000 0.5000  2 O 1.44
O: 0.4201 0.2249 0.4601  1 Be 1.44
O: 0.4201 0.7751 0.9601  1 Be 1.44
O: 0.5799 0.2249 0.0399  1 Be 1.44
O: 0.5799 0.7751 0.5399  1 Be 1.44

***

Here is a relaxed structure of La2PrMnN4 from Alexandria. Energies are from PBE-GGA.

Calculated values
magnetic moment = 7.1 Bohr magnetons per cell
density = 6.7 g cm⁻³
volume = 16.4 A^3/atom
N(E_F) = 6.560 states/eV per cell
electronic total energy = -129.5 eV/cell
energy relative to the elements, uncorrected = -22.1 kcal/mol of atoms

Unit cell a=6.2367 b=6.2367 c=12.3959 alpha=90.00 beta=90.00 gamma=146.95
With the nearest neighbours (Å) after each atom.
Positions (direct):
La: 0.1320 0.8680 0.5448  4 N 2.44-2.61
La: 0.1320 0.8680 0.9552  4 N 2.44-2.61
La: 0.8680 0.1320 0.0448  4 N 2.44-2.61
La: 0.8680 0.1320 0.4552  4 N 2.44-2.61
Pr: 0.3964 0.6036 0.7500  6 N 2.66-2.87
Pr: 0.6036 0.3964 0.2500  6 N 2.66-2.87
Mn: 0.3298 0.6702 0.2500  4 N 1.87-2.05
Mn: 0.6702 0.3298 0.7500  4 N 1.87-2.05
N: 0.0847 0.9153 0.7500  2 Mn 2.05
N: 0.2236 0.7764 0.1390  1 Mn 1.87
N: 0.2236 0.7764 0.3610  1 Mn 1.87
N: 0.5000 0.5000 0.0000  4 La 2.44
N: 0.5000 0.5000 0.5000  4 La 2.44
N: 0.7764 0.2236 0.6390  1 Mn 1.87
N: 0.7764 0.2236 0.8610  1 Mn 1.87
N: 0.9153 0.0847 0.2500  2 Mn 2.05

***

Here is a relaxed structure of BaRe2Os from Alexandria. Energies are from PBE-GGA.

Calculated values
magnetic moment = 0.0 Bohr magnetons per cell
density = 15.6 g cm⁻³
energy of formation from the pure elements = 6.14 eV per formula unit
volume = 18.6 A^3/atom
N(E_F) = 3.784 states/eV per cell
electronic total energy = -31.9 eV/cell
E above lowest polymorph = 731 meV/atom

Unit cell a=4.7237 b=4.7237 c=4.7237 alpha=60.00 beta=60.00 gamma=60.00
With the nearest neighbours (Å) after each atom.
Positions (direct):
Ba: 0.0000 0.0000 0.0000  4 Re 2.89, 4 Os 2.89
Re: 0.5000 0.5000 0.5000  4 Re 2.89, 4 Os 2.89
Re: 0.7500 0.7500 0.7500  4 Re 2.89, 4 Ba 2.89
Os: 0.2500 0.2500 0.2500  4 Ba 2.89, 4 Re 2.89